A relaxed structure of NaCoOs. Source: Alexandria, functional PBE-GGA. Values from VASP.

Computed properties:
The total DFT energy (no corrections) is -35.93 eV per cell. As for the symmetry: P-1. The value obtained for the formation energy is 564 meV per atom. For the energy above the lowest structure with this stoichiometry, the calculation gives 131 meV per atom. The magnetization is 2.57 μB per cell.

Structure (Quantum ESPRESSO input):
```
&SYSTEM
  ibrav = 0, nat = 6, ntyp = 3
/
ATOMIC_SPECIES
Os 190.23 Os.upf
Co 58.93 Co.upf
Na 22.99 Na.upf
CELL_PARAMETERS angstrom
-0.572 3.796 0.711
-5.293 -1.406 3.263
1.541 -2.439 3.594
ATOMIC_POSITIONS crystal
Os 0.450 0.734 0.760
Os 0.769 0.671 0.395
Co 0.084 0.534 0.029
Co 0.135 0.871 0.127
Na 0.444 0.273 0.748
Na 0.775 0.131 0.408
```


A relaxed structure of Ho7Bi2Pd2. Source: Alexandria, functional PBE-GGA. Values from VASP.

Computed properties:
The total DFT energy (no corrections) is -56.98 eV per cell. As for the symmetry: Imm2. The value obtained for the formation energy is -617 meV per atom. For the energy above the lowest structure with this stoichiometry, the calculation gives 0 meV per atom. The magnetization is 0.00 μB per cell.

Structure (Quantum ESPRESSO input):
```
&SYSTEM
  ibrav = 0, nat = 11, ntyp = 3
/
ATOMIC_SPECIES
Pd 106.42 Pd.upf
Bi 208.98 Bi.upf
Ho 164.93 Ho.upf
CELL_PARAMETERS angstrom
-0.215 3.892 0.455
-4.545 0.746 8.395
5.288 1.350 7.868
ATOMIC_POSITIONS crystal
Pd 0.739 0.853 0.670
Pd 0.261 0.330 0.147
Bi 0.000 0.768 0.232
Bi 0.500 0.359 0.641
Ho 0.148 0.104 0.600
Ho 0.815 0.084 0.286
Ho 0.852 0.400 0.896
Ho 0.500 0.029 0.971
Ho 0.185 0.714 0.916
Ho 0.626 0.480 0.268
Ho 0.374 0.732 0.520
```


A relaxed structure of PmMg10Zn2. Source: Alexandria, functional PBE-GGA. Values from VASP.

Computed properties:
The total DFT energy (no corrections) is -24.38 eV per cell. As for the symmetry: Fmmm. The value obtained for the formation energy is -87 meV per atom. The magnetization is 0.00 μB per cell.

Structure (Quantum ESPRESSO input):
```
&SYSTEM
  ibrav = 0, nat = 13, ntyp = 3
/
ATOMIC_SPECIES
Mg 24.30 Mg.upf
Zn 65.41 Zn.upf
Pm 145.00 Pm.upf
CELL_PARAMETERS angstrom
-1.466 -3.412 4.461
0.178 -7.383 -1.813
6.046 -2.029 4.211
ATOMIC_POSITIONS crystal
Mg 0.508 0.778 0.206
Mg 0.492 0.222 0.794
Mg 0.652 0.359 0.336
Mg 0.286 0.222 0.206
Mg 0.500 0.000 0.500
Mg 0.348 0.641 0.664
Mg 0.714 0.778 0.794
Mg 0.012 0.641 0.336
Mg 0.988 0.359 0.664
Mg 0.000 0.000 0.500
Zn 0.500 0.500 0.000
Zn 0.000 0.500 0.000
Pm 0.000 0.000 0.000
```


A relaxed structure of CoRe3Cl. Source: Alexandria, functional PBE-GGA. Values from VASP.

Computed properties:
The total DFT energy (no corrections) is -35.36 eV per cell. As for the symmetry: Pm-3m. Its energy relative to the elements, uncorrected is 2187 meV/atom. For the energy above the lowest structure with this stoichiometry, the calculation gives 338 meV per atom. The magnetization is 3.84 μB per cell.

Structure (Quantum ESPRESSO input):
```
&SYSTEM
  ibrav = 0, nat = 5, ntyp = 3
/
ATOMIC_SPECIES
Re 186.21 Re.upf
Cl 35.45 Cl.upf
Co 58.93 Co.upf
CELL_PARAMETERS angstrom
-3.220 -0.996 3.016
2.217 -3.779 1.119
2.274 2.275 3.179
ATOMIC_POSITIONS crystal
Re 0.500 0.000 0.000
Re 0.000 0.500 0.000
Re 0.000 0.000 0.500
Cl 0.500 0.500 0.500
Co 0.000 0.000 0.000
```


A relaxed structure of Pa8TcOs2. Source: Alexandria, functional PBE-GGA. Values from VASP.

Computed properties:
The total DFT energy (no corrections) is -109.87 eV per cell. As for the symmetry: C2/m. The value obtained for the formation energy is -98 meV per atom. The magnetization is 0.00 μB per cell.

Structure (Quantum ESPRESSO input):
```
&SYSTEM
  ibrav = 0, nat = 11, ntyp = 3
/
ATOMIC_SPECIES
Pa 231.04 Pa.upf
Os 190.23 Os.upf
Tc 98.00 Tc.upf
CELL_PARAMETERS angstrom
-1.188 4.046 3.094
2.301 -2.925 4.708
6.578 2.670 -5.386
ATOMIC_POSITIONS crystal
Pa 0.007 0.769 0.014
Pa 0.403 0.497 0.807
Pa 0.787 0.667 0.574
Pa 0.330 0.967 0.660
Pa 0.670 0.033 0.340
Pa 0.213 0.333 0.426
Pa 0.993 0.231 0.986
Pa 0.597 0.503 0.193
Os 0.164 0.746 0.327
Os 0.836 0.254 0.673
Tc 0.500 0.000 0.000
```


A relaxed structure of AgCO3. Source: Alexandria, functional PBE-GGA. Values from VASP.

Computed properties:
The total DFT energy (no corrections) is -61.21 eV per cell. As for the symmetry: P2_1/m. Its energy relative to the elements, uncorrected is -731 meV/atom. The magnetization is 0.00 μB per cell.

Structure (Quantum ESPRESSO input):
```
&SYSTEM
  ibrav = 0, nat = 10, ntyp = 3
/
ATOMIC_SPECIES
Ag 107.87 Ag.upf
O 16.00 O.upf
C 12.01 C.upf
CELL_PARAMETERS angstrom
-3.136 -0.522 -1.282
2.071 -1.306 -4.536
1.753 -6.747 2.743
ATOMIC_POSITIONS crystal
Ag 0.158 0.250 0.256
Ag 0.842 0.750 0.744
O 0.651 0.535 0.309
O 0.759 0.250 0.920
O 0.349 0.035 0.691
O 0.651 0.965 0.309
O 0.241 0.750 0.080
O 0.349 0.465 0.691
C 0.490 0.250 0.778
C 0.510 0.750 0.222
```


A relaxed structure of Rb2TlSnBr6. Source: Alexandria, functional PBE-GGA. Values from VASP.

Computed properties:
The total DFT energy (no corrections) is -29.63 eV per cell. As for the symmetry: I4/mmm. Its energy relative to the elements, uncorrected is -1129 meV/atom. For the energy above the lowest structure with this stoichiometry, the calculation gives 28 meV per atom. The magnetization is 0.00 μB per cell.

Structure (Quantum ESPRESSO input):
```
&SYSTEM
  ibrav = 0, nat = 10, ntyp = 4
/
ATOMIC_SPECIES
Br 79.90 Br.upf
Rb 85.47 Rb.upf
Tl 204.38 Tl.upf
Sn 118.71 Sn.upf
CELL_PARAMETERS angstrom
8.329 0.000 0.000
0.000 8.329 0.000
4.164 4.164 5.874
ATOMIC_POSITIONS crystal
Br 0.262 0.262 0.000
Br 0.262 0.738 0.000
Br 0.739 0.739 0.523
Br 0.738 0.738 0.000
Br 0.738 0.262 0.000
Br 0.261 0.261 0.477
Rb 0.750 0.250 0.500
Rb 0.250 0.750 0.500
Tl 0.000 0.000 0.000
Sn 0.500 0.500 0.000
```


A relaxed structure of Ce6Os2CI3. Source: Alexandria, functional PBE-GGA. Values from VASP.

Computed properties:
The total DFT energy (no corrections) is -79.10 eV per cell. As for the symmetry: C2/m. Its energy relative to the elements, uncorrected is -597 meV/atom. The magnetization is 3.95 μB per cell.

Structure (Quantum ESPRESSO input):
```
&SYSTEM
  ibrav = 0, nat = 12, ntyp = 4
/
ATOMIC_SPECIES
Ce 140.12 Ce.upf
Os 190.23 Os.upf
I 126.90 I.upf
C 12.01 C.upf
CELL_PARAMETERS angstrom
-2.364 4.971 4.284
4.039 -5.115 2.487
5.894 4.410 -3.748
ATOMIC_POSITIONS crystal
Ce 0.748 0.748 0.180
Ce 0.373 0.060 0.178
Ce 0.252 0.252 0.820
Ce 0.627 0.940 0.822
Ce 0.940 0.627 0.822
Ce 0.060 0.373 0.178
Os 0.666 0.334 0.000
Os 0.334 0.666 0.000
I 0.829 0.171 0.500
I 0.500 0.500 0.500
I 0.171 0.829 0.500
C 0.000 0.000 0.000
```